DFT (meta-GGA SCAN) results for a PBEsol-optimized structure of ZrNbBr3.

For the uncorrected formation energy, the calculation gives 0.11 eV/atom. The crystal system is cubic.

The structure belongs to space group Pm-3m (No. 221); the cell edges are 5.209, 5.209 and 5.209 Å and the angles 90.00°, 90.00° and 90.00°. Symmetry generates all atoms from Zr at (0.000, 0.000, 0.000), Nb at (0.500, 0.500, 0.500) and Br at (0.000, 0.000, 0.500).